DFT (PBE-GGA) results for CaNi6P3 after structural relaxation.

Structure (CIF):
```
data_CaNi6P3
_cell_length_a 6.3027
_cell_length_b 5.8842
_cell_length_c 9.2742
_cell_angle_alpha 90.00
_cell_angle_beta 125.74
_cell_angle_gamma 90.00
_symmetry_space_group_name_H-M 'P 1 21/c 1'
_symmetry_Int_Tables_number 14
loop_
_symmetry_equiv_pos_as_xyz
'x,y,z'
'-x,-y,-z'
'-x,y+1/2,-z+1/2'
'x,-y+1/2,z+1/2'
loop_
_atom_site_label
_atom_site_type_symbol
_atom_site_fract_x
_atom_site_fract_y
_atom_site_fract_z
_atom_site_occupancy
Ca1 Ca 0.0000 0.0000 0.0000 1
Ni1 Ni 0.1226 0.0221 0.7149 1
Ni2 Ni 0.3517 0.1485 0.3919 1
Ni3 Ni 0.4943 0.7485 0.3004 1
P1 P 0.2597 0.5513 0.0467 1
P2 P 0.5000 0.0000 0.0000 1
```

* DFT total energy: -0.21019 Ha/atom
* ΔE_f: -41.3 kJ/mol of atoms
* spin magnetization: 0.00 μB/atom